No. 1
Density functional theory data (PBE) for a relaxed Rb3HfTe crystal.

a b c (Å): 6.9513 6.9513 6.9513
angles (deg): 90.00 90.00 90.00
Closest atoms and distances in Å follow each position.
Fractional positions:
Te 0.0000 0.0000 0.0000  6 Rb 3.48
Hf 0.5000 0.5000 0.5000  12 Rb 4.92
Rb 0.0000 0.5000 0.0000  2 Te 3.48
Rb 0.0000 0.0000 0.5000  2 Te 3.48
Rb 0.5000 0.0000 0.0000  2 Te 3.48

Raw formation energy, eV per atom: 0.585
Total magnetization, μB/f.u.: 3.0


No. 2
Density functional theory data (PBE) for a relaxed ZnIn2CuC crystal.

a b c (Å): 4.9723 4.6046 4.9723
angles (deg): 90.00 90.00 90.00
Closest atoms and distances in Å follow each position.
Fractional positions:
Zn 0.0000 0.5000 0.0000  2 Cu 2.30
C 0.5000 0.5000 0.5000  8 In 3.39, 4 Zn 3.52
Cu 0.0000 0.0000 0.0000  2 Zn 2.30, 4 In 2.49
In 0.0000 0.0000 0.5000  2 Cu 2.49
In 0.5000 0.0000 0.0000  2 Cu 2.49

Energy of formation from the pure elements, eV per atom: 1.366
Total magnetization, μB/f.u.: 2.2


No. 3
Density functional theory data (PBE) for a relaxed OsRu2Au crystal.

a b c (Å): 3.8981 2.7538 6.2337
angles (deg): 63.82 90.00 90.00
Closest atoms and distances in Å follow each position.
Fractional positions:
Au 0.0000 0.5021 0.4981  2 Au 2.75, 6 Ru 2.77-2.83, 4 Os 2.85
Os 0.5000 0.7213 0.7769  5 Ru 2.55-2.68, 2 Os 2.75, 2 Au 2.85
Ru 0.0000 0.0077 0.9927  4 Os 2.67-2.68, 6 Ru 2.74-2.75, 2 Au 2.77-2.83
Ru 0.5000 0.2690 0.2323  1 Os 2.55, 6 Ru 2.74-2.75, 4 Au 2.81

Energy of formation from the pure elements, eV per atom: 0.373
Total magnetization, μB/f.u.: 0.0


No. 4
Density functional theory data (PBE) for a relaxed Sr2NiIr crystal.

a b c (Å): 5.7583 5.7583 5.7583
angles (deg): 135.55 135.55 64.68
Closest atoms and distances in Å follow each position.
Fractional positions:
Ir 0.5000 0.5000 0.0000  8 Sr 3.08-3.27, 4 Ni 3.27
Ni 0.7500 0.2500 0.5000  8 Sr 3.08-3.27, 4 Ir 3.27
Sr 0.0000 0.0000 0.0000  4 Ir 3.08, 4 Ni 3.27, 4 Sr 3.27
Sr 0.2500 0.7500 0.5000  4 Ni 3.08, 4 Ir 3.27, 4 Sr 3.27

Energy of formation from the pure elements, eV per atom: 0.333
Total magnetization, μB/f.u.: 0.0


No. 5
Density functional theory data (PBE) for a relaxed CsCa2CeI8 crystal.

a b c (Å): 7.8416 7.4617 9.9304
angles (deg): 89.91 89.94 89.31
Closest atoms and distances in Å follow each position.
Fractional positions:
Cs 0.0000 0.0000 0.5000  6 I 3.67-3.70
Ca 0.5002 0.5000 0.7473  6 I 3.13-3.36
Ca 0.4998 0.5000 0.2527  6 I 3.13-3.36
Ce 0.0000 0.0000 0.0000  6 I 3.13-3.28
I 0.1680 0.7408 0.2110  1 Ce 3.13, 1 Ca 3.17
I 0.6657 0.7406 0.9998  1 Ce 3.28, 2 Ca 3.36
I 0.8311 0.2583 0.2107  1 Ce 3.13, 1 Ca 3.17
I 0.8320 0.2592 0.7890  1 Ce 3.13, 1 Ca 3.17
I 0.3343 0.2594 0.0002  1 Ce 3.28, 2 Ca 3.36
I 0.1689 0.7417 0.7893  1 Ce 3.13, 1 Ca 3.17
I 0.6116 0.7313 0.4995  2 Ca 3.13
I 0.3884 0.2687 0.5005  2 Ca 3.13

Raw formation energy, eV per atom: -1.450
Total magnetization, μB/f.u.: 1.0


No. 6
Density functional theory data (PBE) for a relaxed CuHg2Te crystal.

a b c (Å): 3.9819 7.0322 4.0011
angles (deg): 74.01 88.18 105.91
Closest atoms and distances in Å follow each position.
Fractional positions:
Cu 0.5000 0.5000 0.0000  4 Te 2.78-2.87
Hg 0.0000 0.0000 0.0000  4 Hg 2.78-2.87
Hg 0.5000 0.0000 0.5000  4 Hg 2.78-2.87
Te 0.0000 0.5000 0.5000  4 Cu 2.78-2.87

Raw formation energy, eV per atom: 0.190
Total magnetization, μB/f.u.: 0.0


No. 7
Density functional theory data (PBE) for a relaxed Ho2Pd3Pt3 crystal.

a b c (Å): 4.0867 4.1038 8.2752
angles (deg): 90.00 90.00 90.00
Closest atoms and distances in Å follow each position.
Fractional positions:
Ho 0.0000 0.0000 0.7499  6 Pd 2.90-2.91, 6 Pt 2.91
Ho 0.0000 0.0000 0.2501  6 Pd 2.90-2.91, 6 Pt 2.91
Pd 0.5000 0.5000 0.7506  4 Ho 2.90, 6 Pt 2.90-2.92, 2 Pd 2.91
Pd 0.5000 0.5000 0.2494  4 Ho 2.90, 6 Pt 2.90-2.92, 2 Pd 2.91
Pd 0.5000 0.0000 0.0000  4 Pt 2.90, 4 Ho 2.91, 4 Pd 2.91
Pt 0.5000 0.0000 0.5000  4 Pt 2.90, 4 Ho 2.91, 4 Pd 2.92
Pt 0.0000 0.5000 0.0000  8 Pd 2.90, 4 Ho 2.91
Pt 0.0000 0.5000 0.5000  4 Pt 2.90, 4 Pd 2.91, 4 Ho 2.91

Energy of formation from the pure elements, eV per atom: -0.974
Total magnetization, μB/f.u.: 0.0


No. 8
Density functional theory data (PBE) for a relaxed CsMgNb crystal.

a b c (Å): 5.6489 13.2458 3.5139
angles (deg): 82.70 71.91 81.10
Closest atoms and distances in Å follow each position.
Fractional positions:
Cs 0.2912 0.4292 0.4998  2 Cs 3.51, 2 Mg 3.88
Cs 0.6814 0.7966 0.1088  2 Cs 3.51, 1 Mg 3.84
Nb 0.7040 0.0729 0.4639  2 Nb 2.57-2.58
Nb 0.8146 0.2033 0.8445  2 Nb 2.57-2.58
Mg 0.1504 0.9952 0.7773  2 Mg 3.00, 4 Nb 3.04-3.26
Mg 0.2754 0.1671 0.1326  5 Nb 2.99-3.04, 2 Mg 3.00

Energy of formation from the pure elements, eV per atom: 0.628
Total magnetization, μB/f.u.: 0.0